! BeP2Rh | Alexandria via LeMat-Bulk | PBE | relaxed; values from VASP
&SYSTEM
  ibrav = 0, nat = 4, ntyp = 3
/
ATOMIC_SPECIES
P 30.97 P.upf
Rh 102.91 Rh.upf
Be 9.01 Be.upf
CELL_PARAMETERS angstrom
-2.413 -3.348 0.685
3.968 -1.277 -0.353
0.383 0.347 3.046
ATOMIC_POSITIONS angstrom
P 0.000 0.000 0.000
P 0.777 -2.313 0.166
Rh -1.015 -1.500 1.866
Be 2.175 -0.465 1.347
! Final energy: -21.7 eV per cell
! Energy relative to the elements: 0.042 eV/atom
! Space group: No. 65


! CsMgP | Alexandria via LeMat-Bulk | PBE | relaxed; values from VASP
&SYSTEM
  ibrav = 0, nat = 6, ntyp = 3
/
ATOMIC_SPECIES
Cs 132.91 Cs.upf
P 30.97 P.upf
Mg 24.30 Mg.upf
CELL_PARAMETERS angstrom
11.494 0.000 0.002
5.325 2.253 -4.311
-5.325 2.253 4.311
ATOMIC_POSITIONS angstrom
Cs 12.138 2.253 -1.881
Cs -0.644 2.253 1.884
P 7.769 2.253 -3.813
P 3.724 2.253 3.815
Mg 3.203 2.253 1.264
Mg 8.290 2.253 -1.261
! Final energy: -18.4 eV per cell
! Energy relative to the elements: -0.452 eV/atom
! Space group: No. 12


! HfGaW2 | Alexandria via LeMat-Bulk | PBE | relaxed; values from VASP
&SYSTEM
  ibrav = 0, nat = 8, ntyp = 3
/
ATOMIC_SPECIES
Hf 178.49 Hf.upf
Ga 69.72 Ga.upf
W 183.84 W.upf
CELL_PARAMETERS angstrom
7.535 0.000 0.000
0.000 7.535 0.000
3.768 3.768 2.620
ATOMIC_POSITIONS angstrom
Hf 0.000 0.000 0.000
Hf 7.535 3.768 1.310
Ga 3.768 3.768 0.000
Ga 3.768 7.535 1.310
W 5.342 1.884 0.655
W 2.193 5.651 0.655
W 5.651 5.961 1.965
W 9.419 9.110 1.965
! Final energy: -71.9 eV per cell
! Energy relative to the elements: 0.735 eV/atom
! Space group: No. 122


! BaY2P | Alexandria via LeMat-Bulk | PBE | relaxed; values from VASP
&SYSTEM
  ibrav = 0, nat = 8, ntyp = 3
/
ATOMIC_SPECIES
Y 88.91 Y.upf
P 30.97 P.upf
Ba 137.33 Ba.upf
CELL_PARAMETERS angstrom
9.231 0.000 0.000
0.000 9.231 0.000
4.615 4.615 3.308
ATOMIC_POSITIONS angstrom
Y 5.916 2.308 0.827
Y 3.314 6.923 0.827
Y 6.923 7.929 2.481
Y 11.538 10.532 2.481
P 4.615 4.615 0.000
P 4.615 9.231 1.654
Ba 0.000 0.000 0.000
Ba 9.231 4.615 1.654
! Final energy: -43.2 eV per cell
! Energy relative to the elements: -0.339 eV/atom
! Space group: No. 122